First-principles (PBE-GGA) data for an optimized crystal structure of Ag2SnSbN, as listed in Alexandria via LeMat-Bulk.

Summary:
Its total magnetization is 0.00 μB/f.u. Its raw formation energy is 22.36 kcal/mol of atoms. The density of states at the Fermi level is 1.386 states/eV/cell.

```
5
Lattice="-4.1566 2.7423 -2.3250 1.2433 -1.1085 -3.5303 -3.1404 -4.4997 0.3069" Properties=species:S:1:pos:R:3 pbc="T T T"
Ag -2.0783 1.3712 -1.1625
Sb -3.0269 -1.4329 -2.7742
Sn 0.0000 0.0000 0.0000
Ag -1.5702 -2.2499 0.1535
N 0.6217 -0.5543 -1.7651
```


First-principles (PBE-GGA) data for an optimized crystal structure of Er2AlCo5Si2, as listed in Alexandria via LeMat-Bulk.

Summary:
Its total magnetization is 0.00 μB/f.u. Its raw formation energy is -11.37 kcal/mol of atoms. The density of states at the Fermi level is 9.963 states/eV/cell.

```
20
Lattice="3.2513 0.0000 0.0000 0.0000 9.3458 0.0000 0.0000 0.0000 9.3458" Properties=species:S:1:pos:R:3 pbc="T T T"
Al 0.0000 4.6729 4.6729
Er 0.0000 3.0186 7.6915
Co 1.6257 6.6811 4.0622
Co 1.6257 0.0000 4.6729
Co 1.6257 7.3376 8.7351
Si 0.0000 8.2232 3.5503
Si 0.0000 1.1226 5.7955
Co 1.6257 8.7351 2.0082
Co 1.6257 4.0622 2.6647
Er 0.0000 7.6915 6.3271
Co 1.6257 2.6647 5.2836
Co 1.6257 4.6729 0.0000
Si 0.0000 3.5503 1.1226
Si 0.0000 5.7955 8.2232
Co 1.6257 2.0082 0.6107
Er 0.0000 1.6543 3.0186
Al 0.0000 0.0000 0.0000
Er 0.0000 6.3271 1.6543
Co 1.6257 5.2836 6.6811
Co 1.6257 0.6107 7.3376
```


First-principles (PBE-GGA) data for an optimized crystal structure of LaFeMo2, as listed in Alexandria via LeMat-Bulk.

Summary:
Its total magnetization is 1.11 μB/f.u. As for the formation energy from the elements: 0.7658 eV/atom. The density of states at the Fermi level is 4.799 states/eV/cell.

```
4
Lattice="5.7480 0.0226 0.0000 3.2001 4.7749 0.0000 -4.4740 -2.3988 2.6961" Properties=species:S:1:pos:R:3 pbc="T T T"
Fe 1.6000 2.3875 1.3481
Mo 4.4741 2.3988 0.0000
La 2.8740 0.0113 1.3481
Mo 0.0000 0.0000 0.0000
```